## BaZn2AsPt (GGA-PBE)

Data for an optimized crystal structure of BaZn2AsPt.

Output
formation energy from the elements	550	kJ/mol of formula units
crystal system	tetragonal
size of the total moment	2.8	μB/f.u.

Cell: 6.7671 6.7671 5.5727 Å, 90.00 90.00 90.00°
Last column: nearest neighbours and their distance in Å.
Atoms (fractional coordinates):
Ba1 0.0000 0.0000 0.0000  2 Pt 2.79
Zn1 0.0000 0.5000 0.0000  2 Ba 3.38
Zn2 0.5000 0.0000 0.0000  2 Ba 3.38
As1 0.5000 0.5000 0.5000  8 Zn 4.38, 4 Pt 4.79
Pt1 0.0000 0.0000 0.5000  2 Ba 2.79